A plane-wave DFT calculation with PBE was carried out for a relaxed structure of Ho2Tm3Ru4.

Calculated values
symmetry	No. 164
calculated volume	184	Å³/cell
formation energy from the elements	-0.39	eV/atom

abc: 4.816 4.816 9.149
angles: 90.00 90.00 60.00
Fractional coordinates of all 9 atoms:
1 Tm 0.333 0.333 0.409
2 Tm 0.000 0.000 0.000
3 Tm 0.667 0.667 0.591
4 Ru 0.000 0.000 0.643
5 Ru 0.333 0.333 0.106
6 Ru 0.667 0.667 0.894
7 Ru 0.000 0.000 0.357
8 Ho 0.667 0.667 0.205
9 Ho 0.333 0.333 0.795

A plane-wave DFT calculation with PBE was carried out for a relaxed structure of Mn2AsCl.

Calculated values
symmetry	No. 119
energy relative to the elements, uncorrected	91	meV/atom
calculated volume	76	Å³/cell
E above lowest polymorph	289	meV per atom

abc: 6.454 6.454 6.454
angles: 147.88 147.88 46.07
Site moments in Bohr magnetons follow the coordinates.
Fractional coordinates of all 4 atoms:
1 As 0.500 0.500 0.000  -0.04
2 Mn 0.250 0.750 0.500  -4.07
3 Mn 0.000 0.000 0.000  3.77
4 Cl 0.750 0.250 0.500  -0.03

A plane-wave DFT calculation with PBE was carried out for a relaxed structure of TbBeAu.

Calculated values
symmetry	No. 187
calculated volume	58	Å³/cell
formation energy from the elements	-0.50	eV/atom
E above lowest polymorph	0	meV per atom

abc: 3.797 4.216 4.216
angles: 120.00 90.00 90.00
Fractional coordinates of all 3 atoms:
1 Be 0.167 0.667 0.333
2 Au 0.167 0.000 0.000
3 Tb 0.667 0.333 0.667

A plane-wave DFT calculation with PBE was carried out for a relaxed structure of Na3TeH.

Calculated values
symmetry	No. 166
calculated volume	235	Å³/cell
E above lowest polymorph	145	meV per atom

abc: 7.465 7.465 7.465
angles: 51.49 51.49 51.49
Fractional coordinates of all 10 atoms:
1 H 0.160 0.160 0.160
2 H 0.840 0.840 0.840
3 Na 0.088 0.569 0.087
4 Na 0.913 0.912 0.431
5 Na 0.087 0.088 0.569
6 Na 0.912 0.431 0.913
7 Na 0.569 0.087 0.088
8 Na 0.431 0.913 0.912
9 Te 0.386 0.386 0.386
10 Te 0.614 0.614 0.614

A plane-wave DFT calculation with PBE was carried out for a relaxed structure of BeZnNF2.

Calculated values
symmetry	No. 123
energy relative to the elements, uncorrected	-100	meV/atom
calculated volume	60	Å³/cell
E above lowest polymorph	1052	meV per atom

abc: 3.802 3.802 4.180
angles: 90.00 90.00 90.00
Site moments in Bohr magnetons follow the coordinates.
Fractional coordinates of all 5 atoms:
1 N 0.000 0.000 0.500  0.44
2 F 0.000 0.500 0.000  0.01
3 F 0.500 0.000 0.000  0.01
4 Zn 0.000 0.000 0.000  0.02
5 Be 0.500 0.500 0.500  -0.06

A plane-wave DFT calculation with PBE was carried out for a relaxed structure of Tb3CeTl5.

Calculated values
symmetry	No. 193
calculated volume	505	Å³/cell
formation energy from the elements	-0.28	eV/atom

abc: 6.482 9.486 9.485
angles: 120.00 90.00 90.00
Site moments in Bohr magnetons follow the coordinates.
Fractional coordinates of all 18 atoms:
1 Tb 0.250 0.000 0.366  -0.01
2 Tb 0.750 0.366 0.366  -0.01
3 Tb 0.750 0.634 0.000  -0.01
4 Tb 0.250 0.366 0.000  -0.01
5 Tb 0.250 0.634 0.634  -0.01
6 Tb 0.750 0.000 0.634  -0.01
7 Ce 0.000 0.000 0.000  0.70
8 Ce 0.500 0.000 0.000  0.70
9 Tl 0.250 0.696 0.000  -0.01
10 Tl 0.000 0.333 0.667  0.00
11 Tl 0.750 0.696 0.696  -0.01
12 Tl 0.750 0.304 0.000  -0.01
13 Tl 0.500 0.667 0.333  0.00
14 Tl 0.750 0.000 0.304  -0.01
15 Tl 0.250 0.304 0.304  -0.01
16 Tl 0.250 0.000 0.696  -0.01
17 Tl 0.500 0.333 0.667  0.00
18 Tl 0.000 0.667 0.333  0.00

A plane-wave DFT calculation with PBE was carried out for a relaxed structure of Ta2AgSb.

Calculated values
symmetry	No. 12
energy relative to the elements, uncorrected	329	meV/atom
calculated volume	76	Å³/cell

abc: 5.373 5.373 2.956
angles: 83.52 83.52 114.85
Fractional coordinates of all 4 atoms:
1 Ag 0.500 0.000 0.500
2 Ta 0.500 0.500 0.000
3 Ta 0.000 0.000 0.000
4 Sb 0.000 0.500 0.500

A plane-wave DFT calculation with PBE was carried out for a relaxed structure of Rb2TlGeAs2.

Calculated values
symmetry	No. 72
calculated volume	411	Å³/cell
formation energy from the elements	-0.24	eV/atom

abc: 6.803 8.078 9.149
angles: 116.20 111.83 90.00
Fractional coordinates of all 12 atoms:
1 Tl 0.750 0.000 0.000
2 Tl 0.250 0.000 0.000
3 Rb 0.675 0.896 0.350
4 Rb 0.825 0.546 0.650
5 Rb 0.325 0.104 0.650
6 Rb 0.175 0.454 0.350
7 Ge 0.750 0.500 0.000
8 Ge 0.250 0.500 0.000
9 As 0.083 0.773 0.166
10 As 0.917 0.227 0.834
11 As 0.583 0.394 0.166
12 As 0.417 0.606 0.834

A plane-wave DFT calculation with PBE was carried out for a relaxed structure of Si4PtW.

Calculated values
symmetry	No. 216
energy relative to the elements, uncorrected	419	meV/atom
calculated volume	83	Å³/cell

abc: 4.898 4.898 4.898
angles: 60.00 60.00 60.00
Fractional coordinates of all 6 atoms:
1 W 0.750 0.750 0.750
2 Si 0.375 0.875 0.375
3 Si 0.375 0.375 0.375
4 Si 0.875 0.375 0.375
5 Si 0.375 0.375 0.875
6 Pt 0.000 0.000 0.000

A plane-wave DFT calculation with PBE was carried out for a relaxed structure of CsPtI2Cl.

Calculated values
symmetry	No. 123
energy relative to the elements, uncorrected	-694	meV/atom
calculated volume	165	Å³/cell

abc: 5.662 5.662 5.147
angles: 90.00 90.00 90.00
Fractional coordinates of all 5 atoms:
1 Pt 0.000 0.000 0.000
2 I 0.000 0.500 0.000
3 I 0.500 0.000 0.000
4 Cl 0.000 0.000 0.500
5 Cs 0.500 0.500 0.500

A plane-wave DFT calculation with PBE was carried out for a relaxed structure of AgP2Ir.

Calculated values
symmetry	No. 160
calculated volume	61	Å³/cell
formation energy from the elements	0.20	eV/atom
E above lowest polymorph	252	meV per atom

abc: 7.646 7.646 7.646
angles: 23.28 23.28 23.28
Fractional coordinates of all 4 atoms:
1 Ir 0.266 0.266 0.266
2 Ag 0.494 0.494 0.494
3 P 0.002 0.002 0.002
4 P 0.738 0.738 0.738

A plane-wave DFT calculation with PBE was carried out for a relaxed structure of Cs2ZrNb3O12.

Calculated values
symmetry	No. 166
energy relative to the elements, uncorrected	-2240	meV/atom
calculated volume	317	Å³/cell

abc: 7.666 7.666 7.666
angles: 59.74 59.74 59.74
Site moments in Bohr magnetons follow the coordinates.
Fractional coordinates of all 18 atoms:
1 Nb 0.000 0.000 0.500  -0.10
2 Nb 0.000 0.500 0.000  -0.10
3 Nb 0.500 0.000 0.000  -0.10
4 O 0.064 0.692 0.692  0.21
5 O 0.308 0.308 0.936  0.21
6 O 0.674 0.067 0.067  0.26
7 O 0.936 0.308 0.308  0.21
8 O 0.933 0.933 0.326  0.26
9 O 0.692 0.692 0.064  0.21
10 O 0.067 0.067 0.674  0.26
11 O 0.933 0.326 0.933  0.26
12 O 0.308 0.936 0.308  0.21
13 O 0.692 0.064 0.692  0.21
14 O 0.326 0.933 0.933  0.26
15 O 0.067 0.674 0.067  0.26
16 Cs 0.377 0.377 0.377  0.00
17 Cs 0.623 0.623 0.623  0.00
18 Zr 0.000 0.000 0.000  -0.04